Entry 1:
# PaMnSe3, optimized geometry, DFT GGA-PBE
# * ΔE_f (raw): -0.929 eV per atom
# * volume: 483.5 Å³/cell
# * relative energy among the computed polymorphs: 0.000 eV/atom
data_PaMnSe3
_chemical_formula_sum 'Pa4 Mn4 Se12'
_cell_length_a 7.399
_cell_length_b 6.707
_cell_length_c 9.743
_cell_angle_alpha 90.00
_cell_angle_beta 90.00
_cell_angle_gamma 90.00
_symmetry_space_group_name_H-M 'P n a 21'
_symmetry_Int_Tables_number 33
loop_
_symmetry_equiv_pos_as_xyz
'x,y,z'
'-x,-y,z+1/2'
'-x+1/2,y+1/2,z+1/2'
'x+1/2,-y+1/2,z'
loop_
_atom_site_label
_atom_site_type_symbol
_atom_site_fract_x
_atom_site_fract_y
_atom_site_fract_z
Pa1 Pa 0.126 0.062 0.000
Mn1 Mn 0.210 0.616 0.125
Se1 Se 0.065 0.311 0.490
Se2 Se 0.151 0.801 0.687
Se3 Se 0.176 0.833 0.328

***

Entry 2:
# U4Ni, optimized geometry, DFT GGA-PBE
# * volume: 122.7 Å³/cell
# * ΔH_f (0 K): 0.998 eV per atom
data_U4Ni
_chemical_formula_sum 'U4 Ni1'
_cell_length_a 4.970
_cell_length_b 4.970
_cell_length_c 4.970
_cell_angle_alpha 90.00
_cell_angle_beta 90.00
_cell_angle_gamma 90.00
_symmetry_space_group_name_H-M 'P m -3 m'
_symmetry_Int_Tables_number 221
_symmetry_space_group_name_Hall '-P 4 2 3'
loop_
_atom_site_label
_atom_site_type_symbol
_atom_site_fract_x
_atom_site_fract_y
_atom_site_fract_z
U1 U 0.000 0.000 0.000
U2 U 0.000 0.500 0.500
Ni1 Ni 0.500 0.500 0.500

***

Entry 3:
# Zr4NbGa3, optimized geometry, DFT GGA-PBE
# * volume: 623.2 Å³/cell
# * ΔH_f (0 K): -0.508 eV per atom
data_Zr4NbGa3
_chemical_formula_sum 'Zr16 Nb4 Ga12'
_cell_length_a 10.813
_cell_length_b 10.813
_cell_length_c 5.330
_cell_angle_alpha 90.00
_cell_angle_beta 90.00
_cell_angle_gamma 90.00
_symmetry_space_group_name_H-M 'I 4/m c m'
_symmetry_Int_Tables_number 140
_symmetry_space_group_name_Hall '-I 4 2c'
loop_
_atom_site_label
_atom_site_type_symbol
_atom_site_fract_x
_atom_site_fract_y
_atom_site_fract_z
Zr1 Zr 0.081 0.220 0.000
Nb1 Nb 0.000 0.500 0.250
Ga1 Ga 0.000 0.000 0.250
Ga2 Ga 0.159 0.341 0.500

***

Entry 4:
# Mo2C, optimized geometry, DFT GGA-PBE
# * volume: 126.6 Å³/cell
# * ΔH_f (0 K): 0.721 eV per atom
data_Mo2C
_chemical_formula_sum 'Mo6 C3'
_cell_length_a 2.9769
_cell_length_b 2.9769
_cell_length_c 16.4998
_cell_angle_alpha 90.00
_cell_angle_beta 90.00
_cell_angle_gamma 120.00
_symmetry_space_group_name_H-M 'P -3 m 1'
_symmetry_Int_Tables_number 164
_symmetry_space_group_name_Hall '-P 3 2"'
loop_
_atom_site_label
_atom_site_type_symbol
_atom_site_fract_x
_atom_site_fract_y
_atom_site_fract_z
Mo1 Mo 0.0000 0.0000 0.0779
Mo2 Mo 0.3333 0.6667 0.5743
Mo3 Mo 0.3333 0.6667 0.7358
C1 C 0.0000 0.0000 0.5000
C2 C 0.3333 0.6667 0.8549